Ca2SmCd3: optimized geometry, PBE.

a b c (Å): 3.8213 3.8213 11.5382
angles (deg): 90.00 90.00 90.00
Last column: nearest neighbours and their distance in Å.
Atoms (fractional coordinates):
1 Ca 0.0000 0.0000 0.1664  8 Cd 3.32-3.34
2 Ca 0.0000 0.0000 0.8336  8 Cd 3.32-3.34
3 Sm 0.0000 0.0000 0.5000  8 Cd 3.30
4 Cd 0.5000 0.5000 0.0000  8 Ca 3.32
5 Cd 0.5000 0.5000 0.3361  4 Sm 3.30, 4 Ca 3.34
6 Cd 0.5000 0.5000 0.6639  4 Sm 3.30, 4 Ca 3.34

ΔH_f (0 K) in eV/atom: -0.343
Offset from the most stable computed form in kcal/mol of atoms: 0.40